Computed, not measured: crystalline CaSbI2N at its relaxed geometry at the GGA-PBE level of DFT.

Properties
The value obtained for the relative energy among the computed polymorphs is 0 meV per atom.

Unit cell a=6.353 b=6.353 c=4.053 alpha=90.00 beta=90.00 gamma=90.00
Sites, in units of the cell vectors:
Ca: 0.000 0.000 0.000
Sb: 0.500 0.500 0.500
I: 0.000 0.500 0.500
I: 0.500 0.000 0.500
N: 0.500 0.500 0.000

---

Computed, not measured: crystalline CsHoGeSe3 at its relaxed geometry at the GGA-PBE level of DFT.

Properties
The energy is -4.68 eV per atom.

Unit cell a=9.248 b=4.087 c=11.550 alpha=90.00 beta=112.29 gamma=90.00
Sites, in units of the cell vectors:
Cs: 0.234 0.250 0.277
Cs: 0.766 0.750 0.723
Ho: 0.366 0.750 0.846
Ho: 0.634 0.250 0.154
Ge: 0.127 0.250 0.563
Ge: 0.873 0.750 0.437
Se: 0.126 0.250 0.777
Se: 0.321 0.750 0.584
Se: 0.405 0.750 0.101
Se: 0.595 0.250 0.899
Se: 0.679 0.250 0.416
Se: 0.874 0.750 0.223

---

Computed, not measured: crystalline NbB2Ru4 at its relaxed geometry at the GGA-PBE level of DFT.

Properties
Its formation energy is -0.129 eV/atom.

Unit cell a=6.562 b=6.562 c=3.723 alpha=90.00 beta=90.00 gamma=147.01
Sites, in units of the cell vectors:
Nb: 0.000 0.000 0.000
B: 0.430 0.570 0.500
B: 0.570 0.430 0.500
Ru: 0.172 0.828 0.500
Ru: 0.326 0.674 0.000
Ru: 0.674 0.326 0.000
Ru: 0.828 0.172 0.500

---

Computed, not measured: crystalline Mg4CdAu at its relaxed geometry at the GGA-PBE level of DFT.

Properties
The value obtained for the relative energy among the computed polymorphs is 232 meV per atom. Its formation energy is 0.024 eV/atom.

Unit cell a=5.644 b=5.644 c=5.644 alpha=60.00 beta=60.00 gamma=60.00
Sites, in units of the cell vectors:
Mg: 0.125 0.125 0.125
Mg: 0.125 0.125 0.626
Mg: 0.125 0.626 0.125
Mg: 0.626 0.125 0.125
Cd: 0.500 0.500 0.500
Au: 0.750 0.750 0.750